A plane-wave DFT calculation with PBE was carried out for a relaxed NpUGe crystal.

Volume, Å³ per cell: 312
Spin magnetization, μB per formula unit: 7.7
VASP energy, eV per atom: -9.177
Mass density, g/cm³: 11.6

The structure in CIF format:
```
data_NpUGe
_symmetry_space_group_name_H-M 'F -4 3 m'
_symmetry_Int_Tables_number 216
_symmetry_space_group_name_Hall 'F -4 2 3'
_cell_length_a 6.7854
_cell_length_b 6.7854
_cell_length_c 6.7854
_cell_angle_alpha 90.00
_cell_angle_beta 90.00
_cell_angle_gamma 90.00
loop_
_atom_site_label
_atom_site_type_symbol
_atom_site_fract_x
_atom_site_fract_y
_atom_site_fract_z
Np1 Np 0.0000 0.0000 0.0000
U1 U 0.0000 0.0000 0.5000
Ge1 Ge 0.2500 0.2500 0.2500
```